1.
{"formula": "KIF2", "functional": "PBE", "state": "relaxed", "spacegroup": "P6_3/mmc, No. 194", "formation_energy_uncorrected_kj_per_mol_atoms": -181, "n_ef_per_ev_atom": 0.000, "de_polymorph_ev_per_fu": 0.00, "lattice": [[4.4347, 0.0000, 0.0000], [-2.2174, 3.8406, 0.0000], [0.0000, 0.0000, 12.7723]], "species": ["K", "K", "I", "I", "F", "F", "F", "F"], "frac_coords": [[0.0000, 0.0000, 0.0000], [0.0000, 0.0000, 0.5000], [0.3333, 0.6667, 0.2500], [0.6667, 0.3333, 0.7500], [0.3333, 0.6667, 0.0827], [0.3333, 0.6667, 0.4173], [0.6667, 0.3333, 0.5827], [0.6667, 0.3333, 0.9173]]}


2.
{"formula": "Nd3Rh2", "functional": "PBE", "state": "relaxed", "spacegroup": "R-3, No. 148", "ef_ev_per_atom": -0.621, "n_ef_per_ev_atom": 0.617, "de_polymorph_ev_per_fu": 0.00, "lattice": [[4.4517, 2.5702, 5.6035], [-4.4517, 2.5702, 5.6035], [0.0000, -5.1404, 5.6035]], "species": ["Nd", "Nd", "Nd", "Nd", "Nd", "Nd", "Nd", "Nd", "Nd", "Rh", "Rh", "Rh", "Rh", "Rh", "Rh"], "frac_coords": [[0.0000, 0.0000, 0.0000], [0.1634, 0.6657, 0.3914], [0.2035, 0.2035, 0.2035], [0.3343, 0.6086, 0.8366], [0.3914, 0.1634, 0.6657], [0.6086, 0.8366, 0.3343], [0.6657, 0.3914, 0.1634], [0.7965, 0.7965, 0.7965], [0.8366, 0.3343, 0.6086], [0.0433, 0.4095, 0.8377], [0.1623, 0.9567, 0.5905], [0.4095, 0.8377, 0.0433], [0.5905, 0.1623, 0.9567], [0.8377, 0.0433, 0.4095], [0.9567, 0.5905, 0.1623]]}


3.
{"formula": "Sc2Cu2Au", "functional": "PBE", "state": "relaxed", "spacegroup": "I4/mmm, No. 139", "ef_ev_per_atom": -0.172, "n_ef_per_ev_atom": 0.727, "de_polymorph_ev_per_fu": 1.27, "lattice": [[-2.5276, 2.5276, 3.6728], [2.5276, -2.5276, 3.6728], [2.5276, 2.5276, -3.6728]], "species": ["Sc", "Sc", "Cu", "Cu", "Au"], "frac_coords": [[0.2500, 0.7500, 0.5000], [0.7500, 0.2500, 0.5000], [0.1486, 0.1486, 0.0000], [0.8514, 0.8514, 0.0000], [0.5000, 0.5000, 0.0000]]}


4.
{"formula": "Ni2MoBr", "functional": "PBE", "state": "relaxed", "spacegroup": "P4/mmm, No. 123", "formation_energy_uncorrected_kj_per_mol_atoms": 42, "n_ef_per_ev_atom": 0.843, "de_polymorph_ev_per_fu": 0.41, "lattice": [[2.8527, 0.0000, 0.0000], [0.0000, 2.8527, 0.0000], [0.0000, 0.0000, 7.4859]], "species": ["Ni", "Ni", "Mo", "Br"], "frac_coords": [[0.0000, 0.0000, 0.2250], [0.0000, 0.0000, 0.7750], [0.5000, 0.5000, 0.0000], [0.5000, 0.5000, 0.5000]]}


5.
{"formula": "Zr2BeSb", "functional": "PBE", "state": "relaxed", "spacegroup": "Amm2, No. 38", "formation_energy_uncorrected_kj_per_mol_atoms": -45, "n_ef_per_ev_atom": 0.619, "de_polymorph_ev_per_fu": 0.18, "lattice": [[3.8215, 0.0000, 0.0000], [0.0000, 1.9375, 5.2596], [0.0000, -1.9375, 5.2596]], "species": ["Zr", "Zr", "Be", "Sb"], "frac_coords": [[0.0000, 0.0000, 0.0000], [0.5000, 0.3135, 0.3135], [0.0000, 0.7494, 0.7494], [0.5000, 0.5976, 0.5976]]}


6.
{"formula": "CuSiP4", "functional": "PBE", "state": "relaxed", "spacegroup": "F-43m, No. 216", "formation_energy_uncorrected_kj_per_mol_atoms": 72, "n_ef_per_ev_atom": 0.327, "lattice": [[0.0000, 3.5597, 3.5597], [3.5597, 0.0000, 3.5597], [3.5597, 3.5597, 0.0000]], "species": ["Cu", "Si", "P", "P", "P", "P"], "frac_coords": [[0.0000, 0.0000, 0.0000], [0.2500, 0.2500, 0.2500], [0.1220, 0.6260, 0.6260], [0.6260, 0.1220, 0.6260], [0.6260, 0.6260, 0.1220], [0.6260, 0.6260, 0.6260]]}